No. 1
Dy2Mn16Mo: optimized geometry, PBE-GGA.

Cell lengths 8.6955, 8.6955, 11.7253 Å; angles 90.00, 90.00, 120.00 degrees
With the nearest neighbours (Å) after each atom.
Space group R3m (No. 160, hexagonal axes)
One atom of each set of equivalent atoms:
Dy: 0.0000 0.0000 0.0000 x3  12 Mn 2.93-3.18, 1 Mo 3.02
Dy: 0.0000 0.0000 0.2895 x3  13 Mn 2.91-3.17
Mn: 0.0000 0.0000 0.5390 x3  1 Mo 2.39, 6 Mn 2.61-2.64
Mn: 0.0007 0.5003 0.1432 x9  8 Mn 2.32-2.51
Mn: 0.0088 0.5044 0.5082 x9  8 Mn 2.48-2.69, 1 Mo 2.71
Mn: 0.0555 0.3881 0.3080 x18  7 Mn 2.32-2.59
Mn: 0.1734 0.3468 0.1142 x9  9 Mn 2.48-2.69
Mo: 0.0000 0.0000 0.7425 x3  4 Mn 2.39-2.64

Values from the calculation:
Its total energy is -499.37 eV for the cell shown.

---

No. 2
LaYGeCl: optimized geometry, PBE-GGA.

Cell lengths 5.9327, 4.9368, 8.6765 Å; angles 90.00, 90.00, 90.00 degrees
With the nearest neighbours (Å) after each atom.
Space group Amm2 (No. 38)
One atom of each set of equivalent atoms:
La: 0.0000 0.0000 0.0000 x2  3 Cl 2.87, 2 Ge 2.97
Y: 0.5000 0.0000 0.6695 x2  3 Ge 2.87, 2 Cl 2.97
Ge: 0.5000 0.0000 0.0005 x2  3 Y 2.87, 2 La 2.97
Cl: 0.0000 0.0000 0.6695 x2  3 La 2.87, 2 Y 2.97

Values from the calculation:
Its total energy is -43.77 eV for the cell shown.

---

No. 3
MgCr2Ag: optimized geometry, PBE-GGA.

Cell lengths 2.7399, 4.4745, 5.0220 Å; angles 90.00, 90.00, 90.00 degrees
With the nearest neighbours (Å) after each atom.
Space group Pmmm (No. 47)
One atom of each set of equivalent atoms:
Mg: 0.0000 0.0000 0.0000 x1  2 Ag 2.51, 2 Mg 2.74, 8 Cr 2.81
Cr: 0.5000 0.5000 0.1983 x2  1 Cr 1.99
Ag: 0.0000 0.0000 0.5000 x1  2 Mg 2.51, 2 Ag 2.74

Values from the calculation:
Its total energy is -21.32 eV for the cell shown.

---

No. 4
InCuOs2: optimized geometry, PBE-GGA.

Cell lengths 2.8412, 3.7377, 5.8473 Å; angles 90.00, 90.00, 90.00 degrees
With the nearest neighbours (Å) after each atom.
Space group Pmm2 (No. 25)
One atom of each set of equivalent atoms:
In: 0.0000 0.0000 0.0000 x1  4 Cu 2.76, 2 In 2.84, 6 Os 2.90-2.95
Cu: 0.5000 0.5000 0.7527 x1  5 Os 2.63-2.76, 4 In 2.76, 2 Cu 2.84
Os: 0.0000 0.0000 0.5047 x1  6 Os 2.63-2.84, 4 Cu 2.76, 1 In 2.90
Os: 0.5000 0.5000 0.3036 x1  6 Os 2.63-2.84, 1 Cu 2.63

Values from the calculation:
Its total energy is -27.97 eV for the cell shown.

---

No. 5
NaSeS: optimized geometry, PBE-GGA.

Cell lengths 3.7896, 3.7896, 10.0113 Å; angles 90.00, 90.00, 90.00 degrees
With the nearest neighbours (Å) after each atom.
Space group I4mm (No. 107)
One atom of each set of equivalent atoms:
Na: 0.0000 0.0000 0.0000 x2  1 S 2.65, 1 Se 2.76
Se: 0.0000 0.0000 0.2755 x2  4 S 2.71, 1 Na 2.76
S: 0.0000 0.0000 0.7353 x2  1 Na 2.65, 4 Se 2.71

Values from the calculation:
Its total energy is -19.69 eV for the cell shown.

---

No. 6
USb2Pd7: optimized geometry, PBE-GGA.

Cell lengths 4.1582, 4.1582, 22.0877 Å; angles 90.00, 90.00, 90.00 degrees
With the nearest neighbours (Å) after each atom.
Space group I4/mmm (No. 139)
One atom of each set of equivalent atoms:
U: 0.0000 0.0000 0.0000 x2  12 Pd 2.91-2.94
Sb: 0.0000 0.0000 0.3282 x4  8 Pd 2.70-2.72
Pd: 0.0000 0.0000 0.5000 x2  8 Pd 2.91, 4 U 2.94
Pd: 0.0000 0.5000 0.0922 x8  2 Sb 2.72, 2 U 2.91, 6 Pd 2.91-2.94
Pd: 0.0000 0.5000 0.2500 x4  4 Sb 2.70, 4 Pd 2.94

Values from the calculation:
Its total energy is -120.20 eV for the cell shown.

---

No. 7
Ti3HO6: optimized geometry, PBE-GGA.

Cell lengths 8.4326, 3.0231, 8.5028 Å; angles 90.00, 106.64, 90.00 degrees
With the nearest neighbours (Å) after each atom.
Space group P2_1/m (No. 11)
One atom of each set of equivalent atoms:
Ti: 0.0613 0.2500 0.1664 x2  4 O 1.89-2.06
Ti: 0.1786 0.7500 0.5085 x2  7 O 2.00-2.22
Ti: 0.3486 0.2500 0.9061 x2  6 O 1.93-2.11
H: 0.3904 0.2500 0.4232 x2  1 O 0.98
O: 0.0221 0.2500 0.3914 x2  4 Ti 2.03-2.10
O: 0.1120 0.2500 0.9435 x2  4 Ti 2.06-2.12
O: 0.1931 0.7500 0.2521 x2  2 Ti 1.89
O: 0.2872 0.7500 0.7509 x2  3 Ti 1.98-2.00
O: 0.3451 0.2500 0.5170 x2  1 H 0.98
O: 0.4158 0.7500 0.0657 x2  3 Ti 1.93-2.00

Values from the calculation:
Its total energy is -165.71 eV for the cell shown.

---

No. 8
Sm3AgHg: optimized geometry, PBE-GGA.

Cell lengths 5.2918, 20.0189, 5.2915 Å; angles 90.00, 90.00, 90.00 degrees
With the nearest neighbours (Å) after each atom.
Space group Cmcm (No. 63)
One atom of each set of equivalent atoms:
Sm: 0.0000 0.0634 0.2500 x4  2 Hg 3.21, 2 Ag 3.23
Sm: 0.0000 0.2501 0.2500 x4  4 Ag 3.24-3.25, 4 Hg 3.26
Sm: 0.0000 0.4372 0.2500 x4  2 Hg 3.22, 2 Ag 3.24
Ag: 0.0000 0.1562 0.7500 x4  8 Sm 3.23-3.25
Hg: 0.0000 0.3454 0.7500 x4  8 Sm 3.21-3.26

Values from the calculation:
Its total energy is -75.01 eV for the cell shown.

---

No. 9
Pr3Y4Ho: optimized geometry, PBE-GGA.

Cell lengths 11.5833, 7.3776, 6.3569 Å; angles 90.00, 90.00, 90.00 degrees
With the nearest neighbours (Å) after each atom.
Space group Pmn2_1 (No. 31)
One atom of each set of equivalent atoms:
Pr: 0.0000 0.1257 0.0000 x2  4 Pr 3.58-3.60, 6 Y 3.62-3.71, 2 Ho 3.69-3.70
Pr: 0.2499 0.1250 0.3313 x4  4 Pr 3.58-3.68, 2 Ho 3.59-3.61, 6 Y 3.60-3.71
Y: 0.0000 0.3762 0.4977 x2  6 Y 3.55-3.66, 4 Pr 3.60-3.69, 2 Ho 3.65-3.73
Y: 0.0000 0.6223 0.9980 x2  6 Y 3.58-3.66, 4 Pr 3.60-3.71, 2 Ho 3.66-3.67
Y: 0.2480 0.6225 0.3340 x4  6 Y 3.55-3.66, 1 Ho 3.56, 5 Pr 3.62-3.71
Ho: 0.0000 0.8703 0.4985 x2  6 Y 3.56-3.73, 6 Pr 3.59-3.70

Values from the calculation:
Its total energy is -89.24 eV for the cell shown.

---

No. 10
BaCo4: optimized geometry, PBE-GGA.

Cell lengths 4.7870, 4.7870, 4.7870 Å; angles 90.00, 90.00, 90.00 degrees
With the nearest neighbours (Å) after each atom.
Space group Pm-3m (No. 221)
One atom of each set of equivalent atoms:
Ba: 0.0000 0.0000 0.0000 x1  6 Co 2.39
Co: 0.0000 0.0000 0.5000 x3  2 Ba 2.39
Co: 0.5000 0.5000 0.5000 x1  12 Co 3.38

Values from the calculation:
Its total energy is -17.62 eV for the cell shown.

---

No. 11
WAu3: optimized geometry, PBE-GGA.

Cell lengths 4.8805, 9.6944, 5.9175 Å; angles 90.00, 90.00, 90.00 degrees
With the nearest neighbours (Å) after each atom.
Space group Pnma (No. 62)
One atom of each set of equivalent atoms:
W: 0.0607 0.2500 0.1343 x4  10 Au 2.78-3.05, 2 W 2.80
Au: 0.0559 0.2500 0.6325 x4  8 Au 2.81-3.02, 4 W 2.89-2.97
Au: 0.2411 0.5065 0.8770 x8  9 Au 2.77-3.02, 3 W 2.78-3.05

Values from the calculation:
Its total energy is -85.41 eV for the cell shown.

---

No. 12
Y2AlOs2: optimized geometry, PBE-GGA.

Cell lengths 9.7163, 5.5907, 7.9206 Å; angles 90.00, 104.07, 90.00 degrees
With the nearest neighbours (Å) after each atom.
Space group C2/c (No. 15)
One atom of each set of equivalent atoms:
Y: 0.1483 0.1423 0.1476 x8  6 Os 2.96-3.13, 2 Al 3.18-3.32
Al: 0.0000 0.3900 0.7500 x4  4 Os 2.59-2.61
Os: 0.1397 0.3529 0.5117 x8  1 Os 2.48, 2 Al 2.59-2.61

Values from the calculation:
Its total energy is -164.11 eV for the cell shown.

---

No. 13
AcLa5Nd5: optimized geometry, PBE-GGA.

Cell lengths 6.2881, 6.9833, 10.4273 Å; angles 91.13, 90.86, 116.06 degrees
With the nearest neighbours (Å) after each atom.
Space group P1 (No. 1)
One atom of each set of equivalent atoms:
Ac: 0.0000 0.0000 0.0000 x1  6 La 3.62-4.04, 2 Nd 3.73
La: 0.3304 0.5809 0.8998 x1  5 La 3.49-3.90, 2 Nd 3.54-3.76, 1 Ac 3.83
La: 0.4390 0.7273 0.5496 x1  9 Nd 3.57-3.72, 3 La 3.66-3.80
La: 0.4974 0.8748 0.2041 x1  5 Nd 3.56-3.85, 1 Ac 3.62, 4 La 3.62-3.89
La: 0.5045 0.1301 0.7971 x1  5 Nd 3.55-3.87, 4 La 3.62-3.90, 1 Ac 3.62
La: 0.6658 0.4208 0.1021 x1  4 La 3.49-3.89, 3 Nd 3.54-3.79, 1 Ac 3.83
Nd: 0.0206 0.1870 0.6297 x1  5 La 3.58-3.76, 6 Nd 3.60-3.72
Nd: 0.0959 0.3504 0.2915 x1  5 La 3.54-3.96, 5 Nd 3.59-3.70, 1 Ac 3.73
Nd: 0.5614 0.2747 0.4511 x1  7 Nd 3.59-3.73, 5 La 3.65-3.79
Nd: 0.9030 0.6511 0.7079 x1  5 La 3.54-3.87, 4 Nd 3.60-3.71, 1 Ac 3.73
Nd: 0.9795 0.8149 0.3699 x1  5 La 3.57-3.74, 6 Nd 3.59-3.73

Values from the calculation:
Its total energy is -51.97 eV for the cell shown.

---

M_tot, record by record: 5.55, 0.00, 0.00, 0.00, 0.00, 1.92, 1.02, 0.31, 0.00, 5.74, 0.00, 0.00, 0.00 μB per formula unit